Record 1
Entry from Alexandria: a relaxed YZn2 crystal (PBE-GGA).

Properties
Formation energy from the elements: -274 meV per atom
Symmetry: Cmcm
Total moment: 0.0 μB/f.u.
Volume: 20.1 Å³ per atom

Cell lengths 6.401, 6.401, 4.741 Å; angles 90.00, 90.00, 141.71 degrees
Atoms (fractional coordinates):
Y 0.903 0.097 0.750
Y 0.097 0.903 0.250
Zn 0.399 0.601 0.250
Zn 0.234 0.766 0.750
Zn 0.766 0.234 0.250
Zn 0.601 0.399 0.750

=====

Record 2
Entry from Alexandria: a relaxed PmSc2Cd5 crystal (PBE-GGA).

Properties
Formation energy from the elements: -285 meV per atom
Symmetry: I4/mmm
Total moment: 0.0 μB/f.u.
Volume: 23.3 Å³ per atom

Cell lengths 5.073, 5.073, 8.070 Å; angles 108.32, 108.32, 90.00 degrees
Atoms (fractional coordinates):
Pm 0.000 0.000 0.000
Cd 0.368 0.868 0.736
Cd 0.132 0.632 0.264
Cd 0.500 0.500 0.000
Cd 0.868 0.368 0.736
Cd 0.632 0.132 0.264
Sc 0.739 0.739 0.477
Sc 0.261 0.261 0.523

=====

Record 3
Entry from Alexandria: a relaxed NdHoSi2 crystal (PBE-GGA).

Properties
Energy above the lowest structure with this stoichiometry: 295 meV/atom
Uncorrected formation energy: -0.48 eV per atom
Symmetry: R-3m
Total moment: 0.0 μB/f.u.
Volume: 24.4 Å³ per atom

Cell lengths 4.633, 4.633, 5.886 Å; angles 66.82, 66.82, 60.00 degrees
Atoms (fractional coordinates):
Nd 0.500 0.500 0.500
Si 0.741 0.741 0.778
Si 0.259 0.259 0.222
Ho 0.000 0.000 0.000

=====

Record 4
Entry from Alexandria: a relaxed La3TbSm4 crystal (PBE-GGA).

Properties
Energy above the lowest structure with this stoichiometry: 0 meV/atom
Formation energy from the elements: 36 meV per atom
Symmetry: Pmn2_1
Total moment: 0.0 μB/f.u.
Volume: 35.1 Å³ per atom

Cell lengths 6.420, 7.398, 11.827 Å; angles 90.00, 90.00, 90.00 degrees
Atoms (fractional coordinates):
Tb 0.774 0.377 0.000
Tb 0.274 0.623 0.500
La 0.604 0.125 0.249
La 0.104 0.875 0.251
La 0.104 0.875 0.749
La 0.275 0.125 0.500
La 0.604 0.125 0.751
La 0.775 0.875 0.000
Sm 0.105 0.377 0.249
Sm 0.273 0.130 0.000
Sm 0.273 0.624 0.000
Sm 0.605 0.623 0.251
Sm 0.773 0.870 0.500
Sm 0.105 0.377 0.751
Sm 0.605 0.623 0.749
Sm 0.773 0.376 0.500

=====

Record 5
Entry from Alexandria: a relaxed AlFeSi2 crystal (PBE-GGA).

Properties
Uncorrected formation energy: 0.11 eV per atom
Symmetry: Immm
Total moment: 0.0 μB/f.u.
Volume: 13.0 Å³ per atom

Cell lengths 4.777, 4.777, 4.777 Å; angles 144.22, 123.96, 68.29 degrees
Atoms (fractional coordinates):
Al 0.250 0.750 0.500
Fe 0.750 0.250 0.500
Si 0.982 0.982 0.000
Si 0.518 0.518 0.000

=====

Record 6
Entry from Alexandria: a relaxed AcLaHoTm crystal (PBE-GGA).

Properties
Formation energy from the elements: 88 meV per atom
Symmetry: F-43m
Total moment: 0.0 μB/f.u.
Volume: 35.8 Å³ per atom

Cell lengths 5.873, 5.873, 5.873 Å; angles 60.00, 60.00, 60.00 degrees
Atoms (fractional coordinates):
Ho 0.000 0.000 0.000
Ac 0.750 0.750 0.750
La 0.250 0.250 0.250
Tm 0.500 0.500 0.500

=====

Record 7
Entry from Alexandria: a relaxed SrLiAs2 crystal (PBE-GGA).

Properties
Energy above the lowest structure with this stoichiometry: 76 meV/atom
Formation energy from the elements: -696 meV per atom
Symmetry: C2/m
Total moment: 0.0 μB/f.u.
Volume: 24.3 Å³ per atom

Cell lengths 4.879, 4.879, 5.294 Å; angles 72.74, 72.74, 54.92 degrees
Atoms (fractional coordinates):
As 0.005 0.005 0.881
As 0.495 0.495 0.619
Li 0.750 0.750 0.750
Sr 0.250 0.250 0.250

=====

Record 8
Entry from Alexandria: a relaxed PmDy15Y4 crystal (PBE-GGA).

Properties
Formation energy from the elements: 20 meV per atom
Symmetry: P4/mmm
Total moment: 0.0 μB/f.u.
Volume: 31.8 Å³ per atom

Cell lengths 5.027, 5.027, 25.130 Å; angles 90.00, 90.00, 90.00 degrees
Atoms (fractional coordinates):
Dy 0.500 0.500 0.400
Dy 0.000 0.500 0.300
Dy 0.500 0.500 0.201
Dy 0.000 0.500 0.700
Dy 0.500 0.000 0.700
Dy 0.500 0.000 0.300
Dy 0.500 0.000 0.500
Dy 0.500 0.500 0.600
Dy 0.500 0.000 0.899
Dy 0.000 0.500 0.101
Dy 0.000 0.500 0.899
Dy 0.500 0.000 0.101
Dy 0.500 0.500 0.000
Dy 0.500 0.500 0.799
Dy 0.000 0.500 0.500
Y 0.000 0.000 0.400
Y 0.000 0.000 0.600
Y 0.000 0.000 0.800
Y 0.000 0.000 0.200
Pm 0.000 0.000 0.000

=====

Record 9
Entry from Alexandria: a relaxed Mg2Zr3TaN6 crystal (PBE-GGA).

Properties
Uncorrected formation energy: -1.36 eV per atom
Symmetry: C2/m
Total moment: 0.0 μB/f.u.
Volume: 11.4 Å³ per atom

Cell lengths 5.529, 5.529, 5.492 Å; angles 99.70, 99.70, 119.90 degrees
Atoms (fractional coordinates):
N 0.079 0.406 0.238
N 0.245 0.245 0.755
N 0.406 0.079 0.238
N 0.594 0.921 0.762
N 0.921 0.594 0.762
N 0.755 0.755 0.245
Mg 0.666 0.334 0.000
Mg 0.334 0.666 0.000
Zr 0.500 0.500 0.500
Zr 0.171 0.829 0.500
Zr 0.829 0.171 0.500
Ta 0.000 0.000 0.000

=====

Record 10
Entry from Alexandria: a relaxed SrHoAg crystal (PBE-GGA).

Properties
Energy above the lowest structure with this stoichiometry: 178 meV/atom
Formation energy from the elements: 57 meV per atom
Symmetry: P-6m2
Total moment: 0.0 μB/f.u.
Volume: 33.1 Å³ per atom

Cell lengths 4.401, 5.101, 5.101 Å; angles 120.00, 90.00, 90.00 degrees
Atoms (fractional coordinates):
Ho 0.167 0.000 0.000
Ag 0.167 0.333 0.667
Sr 0.667 0.667 0.333

=====

Record 11
Entry from Alexandria: a relaxed NiBi3W crystal (PBE-GGA).

Properties
Energy above the lowest structure with this stoichiometry: 39 meV/atom
Formation energy from the elements: 1200 meV per atom
Symmetry: Pm-3m
Total moment: 0.0 μB/f.u.
Volume: 30.6 Å³ per atom

Cell lengths 5.347, 5.347, 5.347 Å; angles 90.00, 90.00, 90.00 degrees
Atoms (fractional coordinates):
Bi 0.500 0.000 0.000
Bi 0.000 0.000 0.500
Bi 0.000 0.500 0.000
Ni 0.500 0.500 0.500
W 0.000 0.000 0.000

=====

Record 12
Entry from Alexandria: a relaxed LiCeF6 crystal (PBE-GGA).

Properties
Uncorrected formation energy: -2.95 eV per atom
Symmetry: R-3
Total moment: 1.1 μB/f.u.
Volume: 14.7 Å³ per atom

Cell lengths 5.244, 5.244, 5.787 Å; angles 63.05, 63.04, 59.97 degrees
Atoms (fractional coordinates):
F 0.765 0.097 0.755
F 0.235 0.903 0.245
F 0.903 0.617 0.245
F 0.097 0.383 0.755
F 0.383 0.765 0.755
F 0.617 0.235 0.245
Li 0.000 0.000 0.000
Ce 0.500 0.500 0.500